# 1
Entry from Alexandria via LeMat-Bulk: an optimized crystal structure of ReHgTe2 (GGA-PBE).

Calculated values
V	27.58	Å³/atom
raw total energy	-4.535	eV per atom
energy relative to the elements, uncorrected	0.22	eV per atom

Lattice parameters (Å, degrees): 10.479 10.479 10.479 162.04 161.88 25.62
Fractional positions:
Hg1 0.439 0.439 0.000
Re1 0.198 0.698 0.500
Te1 0.094 0.094 0.000
Te2 0.769 0.269 0.500


# 2
Entry from Alexandria via LeMat-Bulk: an optimized crystal structure of Pr3Dy2HoTm6 (GGA-PBE).

Calculated values
V	31.69	Å³/atom
ΔE_f	0.02	eV/atom
raw total energy	-4.554	eV per atom

Lattice parameters (Å, degrees): 6.172 6.172 11.704 95.03 95.03 119.97
Fractional positions:
Pr1 0.167 0.833 0.500
Pr2 0.833 0.167 0.500
Pr3 0.500 0.500 0.500
Dy1 0.333 0.667 0.000
Dy2 0.667 0.333 0.000
Ho1 0.000 0.000 0.000
Tm1 0.918 0.585 0.754
Tm2 0.749 0.749 0.246
Tm3 0.082 0.415 0.246
Tm4 0.585 0.918 0.754
Tm5 0.251 0.251 0.754
Tm6 0.415 0.082 0.246


# 3
Entry from Alexandria via LeMat-Bulk: an optimized crystal structure of Ca3FeSi (GGA-PBE).

Calculated values
V	35.54	Å³/atom
raw total energy	-3.540	eV per atom
energy relative to the elements, uncorrected	0.44	eV per atom

Lattice parameters (Å, degrees): 5.622 5.622 5.622 90.00 90.00 90.00
Site moments in Bohr magnetons follow the coordinates.
Fractional positions:
Ca1 0.000 0.500 0.000  -0.04
Ca2 0.000 0.000 0.500  -0.04
Ca3 0.500 0.000 0.000  -0.03
Si1 0.000 0.000 0.000  0.00
Fe1 0.500 0.500 0.500  3.12


# 4
Entry from Alexandria via LeMat-Bulk: an optimized crystal structure of ZnN (GGA-PBE).

Calculated values
V	17.71	Å³/atom
raw total energy	-4.554	eV per atom
energy relative to the elements, uncorrected	0.25	eV per atom

Lattice parameters (Å, degrees): 4.367 2.740 12.615 90.00 110.20 90.00
Fractional positions:
Zn1 0.735 0.000 0.735
Zn2 0.265 0.000 0.265
Zn3 0.735 0.500 0.235
Zn4 0.265 0.500 0.765
N1 0.451 0.000 0.452
N2 0.549 0.000 0.548
N3 0.451 0.500 0.952
N4 0.549 0.500 0.048


# 5
Entry from Alexandria via LeMat-Bulk: an optimized crystal structure of As5Pb (GGA-PBE).

Calculated values
V	22.74	Å³/atom
ΔE_f	0.44	eV/atom
raw total energy	-4.056	eV per atom

Lattice parameters (Å, degrees): 5.779 5.779 5.779 60.00 60.00 60.00
Fractional positions:
As1 0.250 0.250 0.250
As2 0.614 0.614 0.614
As3 0.157 0.614 0.614
As4 0.614 0.157 0.614
As5 0.614 0.614 0.157
Pb1 0.000 0.000 0.000


# 6
Entry from Alexandria via LeMat-Bulk: an optimized crystal structure of TcTeP2 (GGA-PBE).

Calculated values
V	20.91	Å³/atom
raw total energy	-6.068	eV per atom
energy relative to the elements, uncorrected	0.01	eV per atom

Lattice parameters (Å, degrees): 3.933 3.933 8.092 107.40 107.40 44.93
Fractional positions:
P1 0.099 0.099 0.899
P2 0.401 0.401 0.601
Tc1 0.750 0.750 0.750
Te1 0.250 0.250 0.250


| no. | magnetic moment (μB per cell) |
| --- | --- |
| 1 | 0.0 |
| 2 | 0.0 |
| 3 | 2.5 |
| 4 | 0.0 |
| 5 | 0.0 |
| 6 | 0.0 |